A plane-wave DFT calculation with PBE-GGA was carried out for PtWCl2 after structural relaxation.

Unit cell a=4.901 b=4.901 c=4.901 alpha=131.33 beta=131.33 gamma=71.28
Fractional coordinates of all 4 atoms:
Pt (0.000, 0.000, 0.000)
W (0.500, 0.500, 0.000)
Cl (0.250, 0.750, 0.500)
Cl (0.750, 0.250, 0.500)

## Properties
Total DFT energy (no corrections) ... -18.86 eV/cell
Formation energy (no corrections) ... 0.96 eV/atom
ρ ... 11.5 g/cm³
Total magnetic moment ... 0.000 μB per atom
Fermi-level density of states ... 2.03 states/eV/f.u.
SG ... I4/mmm
Energy relative to the lowest polymorph listed for this composition ... 1115 meV per atom

***

A plane-wave DFT calculation with PBE-GGA was carried out for K2NpTe4Au after structural relaxation.

Unit cell a=7.053 b=7.053 c=7.053 alpha=106.02 beta=106.02 gamma=116.61
Fractional coordinates of all 8 atoms:
K (0.000, 0.500, 0.500)
K (0.500, 0.000, 0.500)
Np (0.000, 0.000, 0.000)
Te (0.083, 0.083, 0.633)
Te (0.450, 0.450, 0.367)
Te (0.550, 0.917, 0.000)
Te (0.917, 0.550, 0.000)
Au (0.500, 0.500, 0.000)

## Properties
Total DFT energy (no corrections) ... -35.17 eV/cell
Formation energy (no corrections) ... -0.52 eV/atom
ρ ... 6.4 g/cm³
Total magnetic moment ... 0.247 μB per atom
Fermi-level density of states ... 11.42 states/eV/f.u.
SG ... I-42m